Entry from the Alexandria database: crystalline ReW at its relaxed geometry (GGA-PBE).

For the energy above the most stable polymorph in this dataset, the calculation gives 0.530 eV per atom. The value obtained for the total DFT energy (no corrections) is -12.08 eV/atom.

The structure belongs to space group P6_3/m (No. 176); the cell edges are 7.2505, 7.2505 and 4.5586 Å and the angles 90.00°, 90.00° and 120.00°. The distinct sites, in fractional coordinates, are Re at (0.0992, 0.4819, 0.2500) and W at (0.0480, 0.2542, 0.7500).